1.
DFT (GGA-PBE) results for a relaxed BaTa2Os crystal.

Computed properties:
Total energy (eV/cell): -33.7
Symmetry: R-3m (166)

Unit cell a=10.556 b=10.556 c=10.556 alpha=17.09 beta=17.09 gamma=17.09
Positions (direct):
1 Ba 0.000 0.000 0.000
2 Ta 0.230 0.230 0.230
3 Ta 0.770 0.770 0.770
4 Os 0.500 0.500 0.500

2.
DFT (GGA-PBE) results for a relaxed Ba4TaOs crystal.

Computed properties:
Total energy (eV/cell): -19.8
Symmetry: F-43m (216)

Unit cell a=6.695 b=6.695 c=6.695 alpha=60.00 beta=60.00 gamma=60.00
Positions (direct):
1 Ba 0.124 0.124 0.124
2 Ba 0.124 0.124 0.627
3 Ba 0.124 0.627 0.124
4 Ba 0.627 0.124 0.124
5 Ta 0.500 0.500 0.500
6 Os 0.750 0.750 0.750

3.
DFT (GGA-PBE) results for a relaxed BaTa2Os crystal.

Computed properties:
Total energy (eV/cell): -64.4
Symmetry: I4_1/amd (141)

Unit cell a=9.505 b=9.505 c=9.505 alpha=147.61 beta=147.61 gamma=46.46
Positions (direct):
1 Ba 0.375 0.625 0.750
2 Ba 0.625 0.375 0.250
3 Ta 0.000 0.000 0.000
4 Ta 0.000 0.000 0.500
5 Ta 0.000 0.500 0.000
6 Ta 0.500 0.000 0.500
7 Os 0.125 0.875 0.250
8 Os 0.875 0.125 0.750

4.
DFT (GGA-PBE) results for a relaxed BaTa2Os crystal.

Computed properties:
Total energy (eV/cell): -34.3
Symmetry: C2/m (12)

Unit cell a=5.339 b=5.339 c=6.169 alpha=104.41 beta=104.41 gamma=36.30
Positions (direct):
1 Ba 0.000 0.000 0.000
2 Ta 0.198 0.198 0.631
3 Ta 0.802 0.802 0.369
4 Os 0.500 0.500 0.500

5.
DFT (GGA-PBE) results for a relaxed BaTa2Os crystal.

Computed properties:
Total energy (eV/cell): -31.6
Symmetry: Cmmm (65)

Unit cell a=5.792 b=5.792 c=2.911 alpha=90.00 beta=90.00 gamma=121.67
Positions (direct):
1 Ba 0.000 0.000 0.000
2 Ta 0.000 0.500 0.500
3 Ta 0.500 0.000 0.500
4 Os 0.500 0.500 0.000

6.
DFT (GGA-PBE) results for a relaxed BaTa2Os crystal.

Computed properties:
Total energy (eV/cell): -32.3
Symmetry: C2/m (12)

Unit cell a=5.674 b=5.674 c=2.969 alpha=100.03 beta=100.03 gamma=116.65
Positions (direct):
1 Ba 0.000 0.000 0.000
2 Ta 0.000 0.500 0.500
3 Ta 0.500 0.000 0.500
4 Os 0.500 0.500 0.000

7.
DFT (GGA-PBE) results for a relaxed BaTa2Os crystal.

Computed properties:
Total energy (eV/cell): -33.2
Symmetry: Imm2 (44)

Unit cell a=6.174 b=6.174 c=6.174 alpha=150.01 beta=131.35 gamma=58.21
Positions (direct):
1 Ba 0.000 0.000 0.000
2 Ta 0.430 0.430 0.000
3 Ta 0.711 0.211 0.500
4 Os 0.254 0.754 0.500

8.
DFT (GGA-PBE) results for a relaxed BaTa2Os crystal.

Computed properties:
Total energy (eV/cell): -34.8
Symmetry: P2/m (10)

Unit cell a=3.102 b=3.695 c=8.234 alpha=90.00 beta=90.45 gamma=90.00
Positions (direct):
1 Ba 0.000 0.000 0.000
2 Ta 0.497 0.500 0.341
3 Ta 0.503 0.500 0.659
4 Os 0.000 0.000 0.500

9.
DFT (GGA-PBE) results for a relaxed BaTa2Os crystal.

Computed properties:
Total energy (eV/cell): -32.3
Symmetry: Pmmm (47)

Unit cell a=3.237 b=4.833 c=5.236 alpha=90.00 beta=90.00 gamma=90.00
Positions (direct):
1 Ba 0.000 0.000 0.000
2 Ta 0.000 0.500 0.500
3 Ta 0.500 0.500 0.000
4 Os 0.500 0.000 0.500

10.
DFT (GGA-PBE) results for a relaxed BaTa4Os crystal.

Computed properties:
Total energy (eV/cell): -55.1
Symmetry: F-43m (216)

Unit cell a=5.601 b=5.601 c=5.601 alpha=60.00 beta=60.00 gamma=60.00
Positions (direct):
1 Ba 0.000 0.000 0.000
2 Ta 0.375 0.375 0.375
3 Ta 0.375 0.375 0.874
4 Ta 0.375 0.874 0.375
5 Ta 0.874 0.375 0.375
6 Os 0.750 0.750 0.750

11.
DFT (GGA-PBE) results for a relaxed BaTa2Os crystal.

Computed properties:
Total energy (eV/cell): -33.8
Symmetry: Immm (71)

Unit cell a=6.282 b=6.282 c=6.282 alpha=151.70 beta=127.32 gamma=60.87
Positions (direct):
1 Ba 0.000 0.000 0.000
2 Ta 0.303 0.803 0.500
3 Ta 0.697 0.197 0.500
4 Os 0.500 0.500 0.000

12.
DFT (GGA-PBE) results for a relaxed Ba3TaOs crystal.

Computed properties:
Total energy (eV/cell): -22.1
Symmetry: Pm-3m (221)

Unit cell a=5.915 b=5.915 c=5.915 alpha=90.00 beta=90.00 gamma=90.00
Positions (direct):
1 Ba 0.000 0.000 0.500
2 Ba 0.000 0.500 0.000
3 Ba 0.500 0.000 0.000
4 Ta 0.500 0.500 0.500
5 Os 0.000 0.000 0.000

13.
DFT (GGA-PBE) results for a relaxed BaTa2Os crystal.

Computed properties:
Total energy (eV/cell): -32.3
Symmetry: P4/mmm (123)

Unit cell a=4.963 b=4.963 c=3.174 alpha=90.00 beta=90.00 gamma=90.00
Positions (direct):
1 Ba 0.000 0.000 0.000
2 Ta 0.000 0.500 0.500
3 Ta 0.500 0.000 0.500
4 Os 0.500 0.500 0.000

14.
DFT (GGA-PBE) results for a relaxed BaTa2Os crystal.

Computed properties:
Total energy (eV/cell): -31.5
Symmetry: I4/mmm (139)

Unit cell a=5.715 b=5.715 c=5.715 alpha=137.81 beta=137.81 gamma=61.19
Positions (direct):
1 Ba 0.000 0.000 0.000
2 Ta 0.250 0.750 0.500
3 Ta 0.750 0.250 0.500
4 Os 0.500 0.500 0.000

15.
DFT (GGA-PBE) results for a relaxed BaTcOs2 crystal.

Computed properties:
Total energy (eV/cell): -59.6
Symmetry: I-42d (122)

Unit cell a=6.276 b=6.276 c=6.276 alpha=106.03 beta=106.03 gamma=116.59
Positions (direct):
1 Ba 0.000 0.000 0.000
2 Ba 0.750 0.250 0.500
3 Tc 0.250 0.750 0.500
4 Tc 0.500 0.500 0.000
5 Os 0.209 0.625 0.084
6 Os 0.375 0.459 0.584
7 Os 0.541 0.125 0.916
8 Os 0.875 0.791 0.416

16.
DFT (GGA-PBE) results for a relaxed Ba2TcOs crystal.

Computed properties:
Total energy (eV/cell): -24.4
Symmetry: Cm (8)

Unit cell a=4.217 b=4.217 c=9.575 alpha=101.33 beta=101.33 gamma=59.98
Positions (direct):
1 Ba 0.000 0.000 0.000
2 Ba 0.158 0.158 0.529
3 Tc 0.408 0.408 0.249
4 Os 0.751 0.751 0.282

17.
DFT (GGA-PBE) results for a relaxed BaTcOs2 crystal.

Computed properties:
Total energy (eV/cell): -30.1
Symmetry: Imm2 (44)

Unit cell a=5.957 b=5.957 c=5.957 alpha=151.75 beta=126.60 gamma=61.51
Positions (direct):
1 Ba 0.000 0.000 0.000
2 Tc 0.710 0.210 0.500
3 Os 0.291 0.791 0.500
4 Os 0.501 0.501 0.000

18.
DFT (GGA-PBE) results for a relaxed BaTcOs2 crystal.

Computed properties:
Total energy (eV/cell): -28.7
Symmetry: P2/m (10)

Unit cell a=4.956 b=2.862 c=5.399 alpha=90.00 beta=106.24 gamma=90.00
Positions (direct):
1 Ba 0.000 0.000 0.000
2 Tc 0.500 0.500 0.000
3 Os 0.000 0.500 0.500
4 Os 0.500 0.000 0.500

19.
DFT (GGA-PBE) results for a relaxed BaTc3Os crystal.

Computed properties:
Total energy (eV/cell): -37.9
Symmetry: Pm-3m (221)

Unit cell a=4.850 b=4.850 c=4.850 alpha=90.00 beta=90.00 gamma=90.00
Positions (direct):
1 Ba 0.000 0.000 0.000
2 Tc 0.000 0.500 0.500
3 Tc 0.500 0.000 0.500
4 Tc 0.500 0.500 0.000
5 Os 0.500 0.500 0.500

20.
DFT (GGA-PBE) results for a relaxed BaTcOs2 crystal.

Computed properties:
Total energy (eV/cell): -28.3
Symmetry: P4/mmm (123)

Unit cell a=5.108 b=5.108 c=2.945 alpha=90.00 beta=90.00 gamma=90.00
Positions (direct):
1 Ba 0.000 0.000 0.000
2 Tc 0.500 0.500 0.000
3 Os 0.000 0.500 0.500
4 Os 0.500 0.000 0.500